1.
LiBe2TlB | Alexandria via LeMat-Bulk | PBE-GGA | relaxed; formation energy = 159.8 kJ/mol of atoms; electronic total energy = -10.13 eV for the cell shown; crystal system = tetragonal
1.0
-3.363 2.228 -0.981
-0.042 -1.910 -4.196
-2.434 -3.052 1.413
Be Tl B Li
2 1 1 1
Cartesian
-1.217 -1.526 0.707
-1.682 1.114 -0.490
-0.021 -0.955 -2.098
-2.919 -1.367 -1.882
0.000 0.000 0.000

---

2.
RbRe3Br | Alexandria via LeMat-Bulk | PBE-GGA | relaxed; electronic total energy = -26.57 eV for the cell shown; offset from the most stable computed form = 0.000 eV per formula unit; uncorrected formation energy = 2683 meV/atom; crystal system = cubic
1.0
4.763 0.000 0.000
0.000 4.763 0.000
0.000 0.000 4.763
Re Br Rb
3 1 1
Cartesian
0.000 2.382 0.000
0.000 0.000 2.382
2.382 0.000 0.000
0.000 0.000 0.000
2.382 2.382 2.382

---

3.
ScAg2W | Alexandria via LeMat-Bulk | PBE-GGA | relaxed; formation energy = 36.4 kJ/mol of atoms; electronic total energy = -23.48 eV for the cell shown; offset from the most stable computed form = 0.719 eV per formula unit; crystal system = monoclinic
1.0
-2.890 -0.396 3.594
-1.156 -2.193 -1.172
3.140 -4.475 2.032
Ag Sc W
2 1 1
Cartesian
2.872 -4.849 1.775
-0.720 -1.458 2.241
1.033 -3.164 0.482
0.042 -5.402 2.419

---

4.
Dy3C2Cl2 | Alexandria via LeMat-Bulk | PBE-GGA | relaxed; electronic total energy = -42.37 eV for the cell shown; uncorrected formation energy = -918 meV/atom; crystal system = triclinic
1.0
-1.046 3.187 1.203
-3.244 -4.291 3.224
5.833 0.385 4.055
Dy C Cl
3 2 2
Cartesian
0.000 0.000 0.000
-1.328 0.207 3.548
2.871 -0.926 4.934
3.895 1.227 5.405
-2.352 -1.946 3.076
0.306 -0.170 5.971
1.237 -0.549 2.511

---

5.
CaTb7Sm2 | Alexandria via LeMat-Bulk | PBE-GGA | relaxed; formation energy = 4.5 kJ/mol of atoms; electronic total energy = -43.39 eV for the cell shown; crystal system = triclinic
1.0
-1.486 -5.242 -3.005
0.930 -2.981 9.023
-5.368 3.099 -0.595
Ca Tb Sm
1 7 2
Cartesian
0.000 0.000 0.000
-1.400 -1.136 6.936
-4.523 -3.987 -1.513
-3.739 0.695 4.888
-2.184 -5.818 0.535
-1.030 -4.653 6.463
-4.893 -0.470 -1.040
-0.278 -4.111 3.009
-3.284 -2.813 4.456
-2.639 -2.310 0.967

---

6.
Pu3Au | Alexandria via LeMat-Bulk | PBE-GGA | relaxed; formation energy = 25.1 kJ/mol of atoms; electronic total energy = -45.23 eV for the cell shown; offset from the most stable computed form = 1.380 eV per formula unit; crystal system = tetragonal
1.0
-2.719 -3.090 1.046
3.262 -2.584 0.846
-0.241 4.786 4.893
Au Pu
1 3
Cartesian
0.000 0.000 0.000
0.271 -2.837 0.946
0.014 0.930 2.784
0.287 -1.817 4.001